A:
TaTl2Cl6: relaxed, PBE-GGA.

Lattice parameters (Å, degrees): 6.165 7.114 7.114 60.07 89.42 89.42
Fractional positions:
Tl 0.811 0.668 0.668
Cl 0.776 0.162 0.162
Tl 0.189 0.332 0.332
Cl 0.778 0.677 0.162
Cl 0.222 0.838 0.323
Ta 0.000 0.000 0.000
Cl 0.224 0.838 0.838
Cl 0.778 0.162 0.677
Cl 0.222 0.323 0.838

Density   4.93 Mg/m³
Density of states at the Fermi level   5.6 states/eV/cell

---

B:
TaTl2Cl6: relaxed, PBE-GGA.

Lattice parameters (Å, degrees): 6.947 6.947 13.168 90.00 90.00 90.00
Fractional positions:
Cl 0.744 0.256 0.500
Tl 0.000 0.000 0.666
Ta 0.000 0.000 0.000
Tl 0.500 0.500 0.166
Cl 0.327 0.327 0.367
Cl 0.327 0.327 0.633
Ta 0.500 0.500 0.500
Cl 0.827 0.173 0.867
Cl 0.673 0.673 0.633
Cl 0.244 0.244 0.000
Cl 0.673 0.673 0.367
Cl 0.173 0.827 0.867
Cl 0.256 0.744 0.500
Tl 0.000 0.000 0.334
Cl 0.756 0.756 0.000
Cl 0.173 0.827 0.133
Tl 0.500 0.500 0.834
Cl 0.827 0.173 0.133

Density   4.19 Mg/m³
Density of states at the Fermi level   9.0 states/eV/cell

---

Which of them is the most stable, and which is the least stable? A and B, in that order.

---

A:
TaVCl2: relaxed, PBE-GGA.

Lattice parameters (Å, degrees): 5.669 5.669 6.405 63.73 63.73 90.00
Fractional positions:
Ta 0.000 0.000 0.000
Ta 0.750 0.250 0.500
V 0.250 0.750 0.500
Cl 0.875 0.857 0.750
Cl 0.143 0.625 0.250
V 0.500 0.500 0.000
Cl 0.375 0.393 0.750
Cl 0.607 0.125 0.250

Density   6.26 Mg/m³
Density of states at the Fermi level   6.2 states/eV/cell

---

B:
TaVCl2: relaxed, PBE-GGA.

Lattice parameters (Å, degrees): 8.561 8.561 8.561 20.32 20.32 20.32
Fractional positions:
Cl 0.900 0.900 0.900
V 0.500 0.500 0.500
Ta 0.000 0.000 0.000
Cl 0.100 0.100 0.100

Density   7.59 Mg/m³
Density of states at the Fermi level   4.7 states/eV/cell

---

Which of them is the most stable, and which is the least stable? B and A, in that order.

---

A:
TaV3Cl: relaxed, PBE-GGA.

Lattice parameters (Å, degrees): 4.859 4.859 4.859 90.00 90.00 90.00
Fractional positions:
Ta 0.000 0.000 0.000
Cl 0.500 0.500 0.500
V 0.500 0.000 0.000
V 0.000 0.500 0.000
V 0.000 0.000 0.500

Density   5.35 Mg/m³
Density of states at the Fermi level   8.9 states/eV/cell

---

B:
TaV3Cl: relaxed, PBE-GGA.

Lattice parameters (Å, degrees): 4.251 4.251 4.251 90.00 90.00 90.00
Fractional positions:
V 0.000 0.000 0.500
V 0.000 0.500 0.000
Cl 0.000 0.000 0.000
Ta 0.500 0.500 0.500
V 0.500 0.000 0.000

Density   7.98 Mg/m³
Density of states at the Fermi level   6.0 states/eV/cell

---

Which of them is the most stable, and which is the least stable? B and A, in that order.

---

A:
Ta2WCl: relaxed, PBE-GGA.

Lattice parameters (Å, degrees): 4.312 4.312 8.115 62.62 62.62 41.66
Fractional positions:
Cl 0.250 0.250 0.250
W 0.750 0.750 0.750
Ta 0.938 0.938 0.935
Ta 0.562 0.562 0.565

Density   11.05 Mg/m³
Density of states at the Fermi level   2.9 states/eV/cell

---

B:
Ta2WCl: relaxed, PBE-GGA.

Lattice parameters (Å, degrees): 3.164 3.257 7.500 89.99 90.00 90.00
Fractional positions:
Ta 0.000 0.750 0.454
Cl 0.500 0.750 0.750
W 0.500 0.250 0.250
Ta 0.000 0.750 0.046

Density   12.48 Mg/m³
Density of states at the Fermi level   3.2 states/eV/cell

---

C:
Ta2WCl: relaxed, PBE-GGA.

Lattice parameters (Å, degrees): 2.871 2.871 8.297 90.00 90.00 90.00
Fractional positions:
Ta 0.000 0.000 0.507
Ta 0.000 0.000 0.993
W 0.500 0.500 0.250
Cl 0.500 0.500 0.750

Density   14.11 Mg/m³
Density of states at the Fermi level   2.7 states/eV/cell

---

Which of them is the most stable, and which is the least stable? B and C, in that order.

---

A:
TaWCl: relaxed, PBE-GGA.

Lattice parameters (Å, degrees): 2.906 2.906 8.388 90.00 90.00 120.00
Fractional positions:
W 0.333 0.667 0.603
Cl 0.000 0.000 0.088
Ta 0.667 0.333 0.309

Density   10.83 Mg/m³
Density of states at the Fermi level   2.9 states/eV/cell

---

B:
TaWCl: relaxed, PBE-GGA.

Lattice parameters (Å, degrees): 4.402 4.402 4.402 60.00 60.00 60.00
Fractional positions:
Cl 0.000 0.000 0.000
Ta 0.500 0.500 0.500
W 0.250 0.250 0.250

Density   11.02 Mg/m³
Density of states at the Fermi level   4.9 states/eV/cell

---

Which of them is the most stable, and which is the least stable? A and B, in that order.

---

A:
TaWCl: relaxed, PBE-GGA.

Lattice parameters (Å, degrees): 8.367 8.367 8.367 160.44 160.44 27.79
Fractional positions:
Ta 0.340 0.340 0.000
Cl 0.948 0.948 0.000
W 0.712 0.712 0.000

Density   10.13 Mg/m³
Density of states at the Fermi level   1.2 states/eV/cell

---

B:
TaWCl: relaxed, PBE-GGA.

Lattice parameters (Å, degrees): 8.126 7.928 2.950 83.23 75.64 21.13
Fractional positions:
Cl 0.962 0.962 0.038
Ta 0.334 0.334 0.666
W 0.704 0.704 0.296

Density   10.59 Mg/m³
Density of states at the Fermi level   2.5 states/eV/cell

---

C:
TaWCl: relaxed, PBE-GGA.

Lattice parameters (Å, degrees): 4.959 4.959 4.959 146.97 128.18 62.84
Fractional positions:
W 0.663 0.663 0.000
Cl 0.012 0.012 0.000
Ta 0.325 0.325 0.000

Density   12.85 Mg/m³
Density of states at the Fermi level   2.1 states/eV/cell

---

Which of them is the most stable, and which is the least stable? B and C, in that order.